Entry 1:
GGA-PBEsol KCrFe2, relaxed; energy of formation = 1.4706 eV/atom; space group = P4/mmm (123); energy above the lowest structure with this stoichiometry = 659 meV per atom; N(E_F) = 5.62 states/eV/cell
1.0
4.798 0.000 0.000
0.000 4.798 0.000
0.000 0.000 2.707
K Cr Fe
1 1 2
Direct
0.000 0.000 0.000
0.500 0.500 0.000
0.000 0.500 0.500
0.500 0.000 0.500

Entry 2:
GGA-PBEsol KCrFe2, relaxed; energy of formation = 0.9010 eV/atom; space group = P4mm (99); energy above the lowest structure with this stoichiometry = 90 meV per atom; N(E_F) = 3.86 states/eV/cell
1.0
2.819 0.000 0.000
0.000 2.819 0.000
0.000 0.000 8.339
K Cr Fe
1 1 2
Direct
0.000 0.000 0.000
0.500 0.500 0.344
0.000 0.000 0.506
0.500 0.500 0.665

Entry 3:
GGA-PBEsol KCrFe2, relaxed; energy of formation = 0.8111 eV/atom; space group = Pmmm (47); energy above the lowest structure with this stoichiometry = 0 meV per atom; N(E_F) = 4.80 states/eV/cell
1.0
2.771 0.000 0.000
0.000 3.229 0.000
0.000 0.000 7.658
K Cr Fe
1 1 2
Direct
0.000 0.000 0.000
0.000 0.000 0.500
0.500 0.500 0.353
0.500 0.500 0.647

What is the formula in the first record? KCrFe2

Among the records above, which one has the highest N(E_F)? number 1

Which value of energy above the lowest structure with this stoichiometry does entry 2 give? 90 meV per atom

What is the N(E_F) in the second record? 3.86 states/eV/cell